DFT (PBE) results for crystalline FeAgTeN2 at its relaxed geometry.

abc: 4.008 4.008 6.988
angles: 90.00 90.00 90.00
Last column: magnetic moment on the atom in μB.
Fractional coordinates of all 5 atoms:
Te: 0.000 0.000 0.500  0.19
Fe: 0.500 0.500 0.500  3.25
Ag: 0.000 0.000 0.000  0.26
N: 0.000 0.500 0.000  1.12
N: 0.500 0.000 0.000  1.12

Summary:
D(E_F) in states/eV per atom: 1.269
Relative energy among the computed polymorphs in eV/f.u.: 5.39